VASP calculation (GGA-PBE) on a relaxed Dy3In2Hg crystal.

```
Dy3In2Hg
1.0
3.624 0.000 0.000
0.000 3.624 0.000
0.000 0.000 12.002
Dy In Hg
3 2 1
direct
0.000 0.000 0.000 Dy
0.000 0.000 0.339 Dy
0.000 0.000 0.661 Dy
0.500 0.500 0.170 In
0.500 0.500 0.830 In
0.500 0.500 0.500 Hg
```

Calculated values
- total energy (eV/atom) = -3.73
- formation energy from the elements (kJ per mole of atoms) = -45